No. 1
DFT (PBE-GGA) results for an optimized crystal structure of DyYIn.

Cell: 5.2219 5.2219 7.2758 Å, 90.42 90.42 60.33°
Closest atoms and distances in Å follow each position.
Sites, in units of the cell vectors:
Dy 0.1668 0.1668 0.3899  3 In 3.18, 3 Dy 3.42
Dy 0.8332 0.8332 0.6101  3 In 3.18, 3 Dy 3.42
Y 0.1668 0.1668 0.8882  3 In 3.18-3.19, 3 Y 3.43-3.44
Y 0.8332 0.8332 0.1118  3 In 3.18-3.19, 3 Y 3.43-3.44
In 0.5000 0.5000 0.2520  3 Dy 3.18, 3 Y 3.18-3.19
In 0.5000 0.5000 0.7480  3 Dy 3.18, 3 Y 3.18-3.19

ΔH_f (0 K)	-0.24	eV per atom
SG	No. 12

***

No. 2
DFT (PBE-GGA) results for an optimized crystal structure of ErTm2ScP4.

Cell: 6.7663 3.9105 6.7679 Å, 90.00 109.47 90.00°
Closest atoms and distances in Å follow each position.
Sites, in units of the cell vectors:
Er 0.0000 0.0000 0.0000  6 P 2.77
Tm 0.0000 0.5000 0.5000  6 P 2.80
Tm 0.5000 0.0000 0.5000  6 P 2.76
Sc 0.5000 0.5000 0.0000  6 P 2.72
P 0.2545 0.5000 0.2472  1 Sc 2.72, 3 Tm 2.76-2.80, 2 Er 2.77
P 0.2578 0.0000 0.7569  2 Sc 2.72, 3 Tm 2.76-2.80, 1 Er 2.77
P 0.7422 0.0000 0.2431  2 Sc 2.72, 3 Tm 2.76-2.80, 1 Er 2.77
P 0.7455 0.5000 0.7528  1 Sc 2.72, 3 Tm 2.76-2.80, 2 Er 2.77

ΔH_f (0 K)	-1.57	eV per atom
SG	No. 10

***

No. 3
DFT (PBE-GGA) results for an optimized crystal structure of InSi2.

Cell: 6.4588 6.4588 6.4588 Å, 90.00 90.00 90.00°
Closest atoms and distances in Å follow each position.
Sites, in units of the cell vectors:
In 0.0000 0.0000 0.0000  6 Si 2.72
In 0.0000 0.5000 0.5000  6 Si 2.72
In 0.5000 0.0000 0.5000  6 Si 2.72
In 0.5000 0.5000 0.0000  6 Si 2.72
Si 0.1054 0.6054 0.8946  1 Si 2.36
Si 0.1054 0.8946 0.3946  1 Si 2.36
Si 0.3946 0.1054 0.8946  1 Si 2.36
Si 0.3946 0.3946 0.3946  1 Si 2.36
Si 0.6054 0.6054 0.6054  1 Si 2.36
Si 0.6054 0.8946 0.1054  1 Si 2.36
Si 0.8946 0.1054 0.6054  1 Si 2.36
Si 0.8946 0.3946 0.1054  1 Si 2.36

formation energy from raw total energies	14.172	kcal/mol of atoms
SG	No. 205

***

No. 4
DFT (PBE-GGA) results for an optimized crystal structure of ScBeAgPd.

Cell: 4.4705 4.4705 4.4705 Å, 60.00 60.00 60.00°
Closest atoms and distances in Å follow each position.
Sites, in units of the cell vectors:
Sc 0.0000 0.0000 0.0000  4 Ag 2.74, 4 Pd 2.74
Be 0.5000 0.5000 0.5000  4 Pd 2.74, 4 Ag 2.74
Ag 0.7500 0.7500 0.7500  4 Be 2.74, 4 Sc 2.74
Pd 0.2500 0.2500 0.2500  4 Be 2.74, 4 Sc 2.74

ΔH_f (0 K)	-0.30	eV per atom
SG	No. 216

***

No. 5
DFT (PBE-GGA) results for an optimized crystal structure of Tl2PbCl.

Cell: 3.5096 5.7957 5.8230 Å, 90.00 90.00 90.00°
Closest atoms and distances in Å follow each position.
Sites, in units of the cell vectors:
Tl 0.0000 0.0000 0.0000  6 Tl 3.39-3.51, 4 Cl 3.40
Tl 0.5000 0.5000 0.0000  6 Tl 3.39-3.51, 4 Pb 3.40
Pb 0.0000 0.5000 0.5000  4 Cl 3.39, 4 Tl 3.40, 2 Pb 3.51
Cl 0.5000 0.0000 0.5000  4 Pb 3.39, 4 Tl 3.40, 2 Cl 3.51

formation energy from raw total energies	-6.663	kcal/mol of atoms
SG	No. 47

***

No. 6
DFT (PBE-GGA) results for an optimized crystal structure of Np2AlIn8.

Cell: 4.8272 4.8272 11.8804 Å, 90.00 90.00 90.00°
Closest atoms and distances in Å follow each position.
Sites, in units of the cell vectors:
Np 0.0000 0.0000 0.1905  12 In 3.21-3.41
Np 0.0000 0.0000 0.8095  12 In 3.21-3.41
Al 0.0000 0.0000 0.5000  8 In 2.87
In 0.0000 0.5000 0.0000  8 In 3.28-3.41, 4 Np 3.31
In 0.0000 0.5000 0.3686  2 Al 2.87, 1 In 3.12, 2 Np 3.21
In 0.0000 0.5000 0.6314  2 Al 2.87, 1 In 3.12, 2 Np 3.21
In 0.5000 0.0000 0.0000  8 In 3.28-3.41, 4 Np 3.31
In 0.5000 0.0000 0.3686  2 Al 2.87, 1 In 3.12, 2 Np 3.21
In 0.5000 0.0000 0.6314  2 Al 2.87, 1 In 3.12, 2 Np 3.21
In 0.5000 0.5000 0.1871  8 In 3.24-3.28, 4 Np 3.41
In 0.5000 0.5000 0.8129  8 In 3.24-3.28, 4 Np 3.41

ΔH_f (0 K)	0.03	eV per atom
SG	No. 123

***

No. 7
DFT (PBE-GGA) results for an optimized crystal structure of SrTeI3.

Cell: 6.1852 6.1852 6.1852 Å, 90.00 90.00 90.00°
Closest atoms and distances in Å follow each position.
Sites, in units of the cell vectors:
Sr 0.0000 0.0000 0.0000  12 I 4.37
Te 0.5000 0.5000 0.5000  6 I 3.09
I 0.0000 0.5000 0.5000  2 Te 3.09
I 0.5000 0.0000 0.5000  2 Te 3.09
I 0.5000 0.5000 0.0000  2 Te 3.09

formation energy from raw total energies	-9.254	kcal/mol of atoms
SG	No. 221

***

No. 8
DFT (PBE-GGA) results for an optimized crystal structure of Y2GeI.

Cell: 7.9649 7.9649 7.9649 Å, 30.65 30.65 30.65°
Closest atoms and distances in Å follow each position.
Sites, in units of the cell vectors:
Y 0.0000 0.0000 0.0000  3 Ge 2.86
Y 0.2041 0.2041 0.2041  3 Ge 2.82
Ge 0.6002 0.6002 0.6002  6 Y 2.82-2.86
I 0.7701 0.7701 0.7701  6 Y 3.34-3.38

formation energy from raw total energies	-21.965	kcal/mol of atoms
SG	No. 160

***

| no. | density of states at the Fermi level (states/eV/atom) |
| --- | --- |
| 1 | 0.80 |
| 2 | 0.13 |
| 3 | 0.39 |
| 4 | 0.64 |
| 5 | 0.49 |
| 6 | 2.06 |
| 7 | 0.41 |
| 8 | 0.65 |